(1)
# Y12GaCo6 PBE optimized geometry
data_Y12GaCo6
_chemical_formula_sum 'Y24 Ga2 Co12'
_space_group_name_H-M_alt 'I m -3'
_space_group_IT_number 204
_space_group_name_Hall '-I 2 2 3'
_cell_length_a 9.649
_cell_length_b 9.649
_cell_length_c 9.649
_cell_angle_alpha 90.00
_cell_angle_beta 90.00
_cell_angle_gamma 90.00
loop_
_atom_site_label
_atom_site_type_symbol
_atom_site_fract_x
_atom_site_fract_y
_atom_site_fract_z
_atom_site_occupancy
Y1 Y 0.000 0.193 0.300 1
Ga1 Ga 0.000 0.000 0.000 1
Co1 Co 0.000 0.387 0.500 1
# Formation enthalpy at 0 K   -4.42 eV per formula unit

***

(2)
# TaAgSe PBE optimized geometry
data_TaAgSe
_chemical_formula_sum 'Ta2 Ag2 Se2'
_space_group_name_H-M_alt 'I 4 m m'
_space_group_IT_number 107
_space_group_name_Hall 'I 4 -2'
_cell_length_a 3.183
_cell_length_b 3.183
_cell_length_c 11.238
_cell_angle_alpha 90.00
_cell_angle_beta 90.00
_cell_angle_gamma 90.00
loop_
_atom_site_label
_atom_site_type_symbol
_atom_site_fract_x
_atom_site_fract_y
_atom_site_fract_z
_atom_site_occupancy
Ta1 Ta 0.000 0.000 0.000 1
Ag1 Ag 0.000 0.000 0.323 1
Se1 Se 0.000 0.000 0.624 1
# Excess energy over the best structure of this formula in the dataset   8.6 kJ per mole of atoms
# Formation energy without anion corrections   0.00 eV/atom

***

(3)
# ZrTl2Hg2Cl6 PBE optimized geometry
data_ZrTl2Hg2Cl6
_chemical_formula_sum 'Zr2 Tl4 Hg4 Cl12'
_space_group_name_H-M_alt 'C 1 2/m 1'
_space_group_IT_number 12
_cell_length_a 7.652
_cell_length_b 13.901
_cell_length_c 7.879
_cell_angle_alpha 90.00
_cell_angle_beta 93.49
_cell_angle_gamma 90.00
loop_
_space_group_symop_operation_xyz
'x,y,z'
'-x,-y,-z'
'-x,y,-z'
'x,-y,z'
'x+1/2,y+1/2,z'
'-x+1/2,-y+1/2,-z'
'-x+1/2,y+1/2,-z'
'x+1/2,-y+1/2,z'
loop_
_atom_site_label
_atom_site_type_symbol
_atom_site_fract_x
_atom_site_fract_y
_atom_site_fract_z
_atom_site_occupancy
Zr1 Zr 0.000 0.000 0.000 1
Tl1 Tl 0.000 0.332 0.000 1
Hg1 Hg 0.000 0.324 0.500 1
Cl1 Cl 0.118 0.128 0.816 1
Cl2 Cl 0.217 0.500 0.824 1
# Formation energy without anion corrections   -1.19 eV/atom

***

(4)
# MgMo2Pt PBE optimized geometry
data_MgMo2Pt
_chemical_formula_sum 'Mg1 Mo2 Pt1'
_space_group_name_H-M_alt 'P 1 2/m 1'
_space_group_IT_number 10
_cell_length_a 2.721
_cell_length_b 4.631
_cell_length_c 5.223
_cell_angle_alpha 90.00
_cell_angle_beta 104.65
_cell_angle_gamma 90.00
loop_
_space_group_symop_operation_xyz
'x,y,z'
'-x,-y,-z'
'-x,y,-z'
'x,-y,z'
loop_
_atom_site_label
_atom_site_type_symbol
_atom_site_fract_x
_atom_site_fract_y
_atom_site_fract_z
_atom_site_occupancy
Mg1 Mg 0.000 0.000 0.000 1
Mo1 Mo 0.498 0.500 0.757 1
Pt1 Pt 0.000 0.000 0.500 1
# Formation enthalpy at 0 K   -0.13 eV per formula unit

***

no.,DFT total energy (eV/atom)
1,-6.719
2,-6.062
3,-3.462
4,-7.358